This record from the Alexandria database describes LiLaTbIn after structural relaxation. The functional is GGA-PBE.

abc: 5.4281 5.4281 5.4281
angles: 60.00 60.00 60.00
Element x y z (fractional)
La 0.2500 0.2500 0.2500
Tb 0.7500 0.7500 0.7500
In 0.5000 0.5000 0.5000
Li 0.0000 0.0000 0.0000

Results
Density of states at the Fermi level = 1.061 states/eV per atom
ΔE_f = -261.5 meV/atom
Size of the total moment = 0.0 μB per formula unit
V = 113.1 Å³/cell